## Dy3TmC2Se2 (GGA-PBE)

Data for a relaxed Dy3TmC2Se2 crystal.

Lattice parameters (Å, degrees): 3.7444 3.7444 13.2245 90.00 90.00 120.00
Space group P3m1 (No. 156)
Inequivalent atoms, fractional coordinates:
1 Dy 0.0000 0.0000 0.0000 [1 per cell]
2 Dy 0.0000 0.0000 0.3011 [1 per cell]
3 Dy 0.6667 0.3333 0.7983 [1 per cell]
4 Tm 0.6667 0.3333 0.4996 [1 per cell]
5 C 0.3333 0.6667 0.4016 [1 per cell]
6 C 0.3333 0.6667 0.8990 [1 per cell]
7 Se 0.0000 0.0000 0.6463 [1 per cell]
8 Se 0.6667 0.3333 0.1501 [1 per cell]

Values from the calculation:
- VASP energy (eV per atom) = -6.620
- crystal system = trigonal

=====

## Dy3YC2Se2 (GGA-PBE)

Data for a relaxed Dy3YC2Se2 crystal.

Lattice parameters (Å, degrees): 3.7606 3.7606 13.2949 90.00 90.00 120.00
Space group P3m1 (No. 156)
Inequivalent atoms, fractional coordinates:
1 Dy 0.0000 0.0000 0.0000 [1 per cell]
2 Dy 0.0000 0.0000 0.2996 [1 per cell]
3 Dy 0.6667 0.3333 0.7996 [1 per cell]
4 Y 0.6667 0.3333 0.5001 [1 per cell]
5 C 0.3333 0.6667 0.3996 [1 per cell]
6 C 0.3333 0.6667 0.8998 [1 per cell]
7 Se 0.0000 0.0000 0.6498 [1 per cell]
8 Se 0.6667 0.3333 0.1498 [1 per cell]

Values from the calculation:
- VASP energy (eV per atom) = -6.863
- crystal system = trigonal

=====

## Dy3ZrC2Se2 (GGA-PBE)

Data for a relaxed Dy3ZrC2Se2 crystal.

Lattice parameters (Å, degrees): 3.6744 3.6744 13.1716 90.00 90.00 120.00
Space group P3m1 (No. 156)
Inequivalent atoms, fractional coordinates:
1 Dy 0.0000 0.0000 0.0000 [1 per cell]
2 Dy 0.0000 0.0000 0.3032 [1 per cell]
3 Dy 0.6667 0.3333 0.7970 [1 per cell]
4 Zr 0.6667 0.3333 0.4976 [1 per cell]
5 C 0.3333 0.6667 0.4117 [1 per cell]
6 C 0.3333 0.6667 0.8962 [1 per cell]
7 Se 0.0000 0.0000 0.6384 [1 per cell]
8 Se 0.6667 0.3333 0.1531 [1 per cell]

Values from the calculation:
- VASP energy (eV per atom) = -7.108
- crystal system = trigonal

=====

One value per record, in order, for total magnetization: 0.005; 0.001; 0.004 μB/f.u..
One value per record, in order, for calculated volume: 20.1; 20.4; 19.3 Å³/atom.